KSmNiF6 after structural relaxation, computed with PBE+U.

* calculated total energy: -5.321 eV/atom
* magnetic moment: 1.90 μB/f.u.
* theoretical density: 3.79 g cm⁻³

```
data_KSmNiF6
_chemical_formula_sum 'K2 Sm2 Ni2 F12'
_space_group_name_H-M_alt 'P -3 1 c'
_space_group_IT_number 163
_space_group_name_Hall '-P 3 2c'
_cell_length_a 5.8088
_cell_length_b 5.8088
_cell_length_c 10.8686
_cell_angle_alpha 90.00
_cell_angle_beta 90.00
_cell_angle_gamma 120.00
loop_
_atom_site_label
_atom_site_fract_x
_atom_site_fract_y
_atom_site_fract_z
K1 0.0000 0.0000 0.0000
Sm1 0.3333 0.6667 0.2500
Ni1 0.3333 0.6667 0.7500
F1 0.0280 0.3864 0.6462
```